This record from Alexandria via LeMat-Bulk describes a PBEsol-optimized structure of Cs2NaHg2. The functional is meta-GGA SCAN.

Calculated values
Total magnetization   0.000 Bohr magnetons per cell
E above lowest polymorph   0.29 eV per formula unit
Formation enthalpy at 0 K   -0.9 eV per formula unit

Cell lengths 7.185, 7.185, 9.126 Å; angles 90.00, 90.00, 90.00 degrees
Space group I4/mmm (No. 139)
Symmetry-distinct sites (fractional):
Cs 0.000 0.500 0.250 [4 per cell]
Na 0.000 0.000 0.000 [2 per cell]
Hg 0.000 0.000 0.343 [4 per cell]

=====

This record from Alexandria via LeMat-Bulk describes a PBEsol-optimized structure of Cs2HgOsO. The functional is meta-GGA SCAN.

Calculated values
Total magnetization   2.856 Bohr magnetons per cell
Raw formation energy   0.869 eV/atom

Cell lengths 6.786, 6.786, 4.121 Å; angles 90.00, 90.00, 90.00 degrees
Space group P4/mmm (No. 123)
Symmetry-distinct sites (fractional):
Cs 0.000 0.500 0.000 [2 per cell]
Hg 0.000 0.000 0.000 [1 per cell]
Os 0.500 0.500 0.500 [1 per cell]
O 0.000 0.000 0.500 [1 per cell]

=====

This record from Alexandria via LeMat-Bulk describes a PBEsol-optimized structure of CsHgP2O. The functional is meta-GGA SCAN.

Calculated values
Total magnetization   1.962 Bohr magnetons per cell
Raw formation energy   1.556 eV/atom

Cell lengths 5.524, 5.524, 4.258 Å; angles 90.00, 90.00, 90.00 degrees
Space group P4/mmm (No. 123)
Symmetry-distinct sites (fractional):
Cs 0.000 0.000 0.000 [1 per cell]
Hg 0.500 0.500 0.500 [1 per cell]
P 0.000 0.500 0.000 [2 per cell]
O 0.000 0.000 0.500 [1 per cell]

=====

This record from Alexandria via LeMat-Bulk describes a PBEsol-optimized structure of Cs2HgOs. The functional is meta-GGA SCAN.

Calculated values
Total magnetization   9.019 Bohr magnetons per cell
Formation enthalpy at 0 K   4.8 eV per formula unit

Cell lengths 8.228, 8.228, 8.228 Å; angles 90.00, 90.00, 90.00 degrees
Space group Fm-3m (No. 225)
Symmetry-distinct sites (fractional):
Cs 0.250 0.250 0.250 [8 per cell]
Hg 0.000 0.000 0.000 [4 per cell]
Os 0.000 0.000 0.500 [4 per cell]

=====

This record from Alexandria via LeMat-Bulk describes a PBEsol-optimized structure of CsHgOs3. The functional is meta-GGA SCAN.

Calculated values
Total magnetization   4.970 Bohr magnetons per cell
Formation enthalpy at 0 K   20.7 eV per formula unit

Cell lengths 4.886, 4.886, 4.886 Å; angles 90.00, 90.00, 90.00 degrees
Space group Pm-3m (No. 221)
Symmetry-distinct sites (fractional):
Cs 0.000 0.000 0.000 [1 per cell]
Hg 0.500 0.500 0.500 [1 per cell]
Os 0.000 0.000 0.500 [3 per cell]

=====

This record from Alexandria via LeMat-Bulk describes a PBEsol-optimized structure of CsZr2HgOs. The functional is meta-GGA SCAN.

Calculated values
Total magnetization   0.000 Bohr magnetons per cell
Formation enthalpy at 0 K   3.3 eV per formula unit

Cell lengths 4.961, 4.961, 7.079 Å; angles 90.00, 90.00, 90.00 degrees
Space group P4/mmm (No. 123)
Symmetry-distinct sites (fractional):
Cs 0.000 0.000 0.000 [1 per cell]
Zr 0.000 0.500 0.500 [2 per cell]
Hg 0.500 0.500 0.000 [1 per cell]
Os 0.000 0.000 0.500 [1 per cell]